First-principles (GGA-PBE) data for a relaxed SmYPt crystal, as listed in the Alexandria database.

a b c (Å): 7.092 5.774 10.928
angles (deg): 90.00 128.62 90.00
Space group P2_1/c (No. 14)
Inequivalent atoms, fractional coordinates:
Sm (0.194, 0.150, 0.374) x4
Y (0.318, 0.633, 0.626) x4
Pt (0.326, 0.658, 0.364) x4

Properties
polymorph energy (0 for the lowest one)	33.6	kJ/mol of formula units